*w*
{
  "formula": "BC3",
  "functional": "PBE",
  "state": "optimized geometry",
  "cell": [[3.702, 0.000, 0.000], [0.000, 2.569, 0.000], [-0.110, 0.000, 7.925]],
  "species": ["B", "B", "B", "C", "C", "C", "C", "C", "C", "C", "C", "C"],
  "frac_coords": [[0.000, 0.000, 0.000], [0.238, 0.500, 0.629], [0.670, 0.000, 0.768], [0.227, 0.500, 0.303], [0.242, 0.500, 0.974], [0.472, 0.500, 0.821], [0.477, 0.500, 0.144], [0.483, 0.500, 0.460], [0.717, 0.000, 0.145], [0.729, 0.000, 0.460], [0.951, 0.000, 0.625], [0.982, 0.000, 0.303]],
  "magmom_total_mub_per_atom": 0.000
}

---

*x*
{
  "formula": "BC3",
  "functional": "PBE",
  "state": "optimized geometry",
  "cell": [[2.483, 0.000, 0.000], [0.000, 5.206, 0.000], [0.000, 0.000, 3.844]],
  "species": ["B", "B", "C", "C", "C", "C", "C", "C"],
  "frac_coords": [[0.250, 0.250, 0.136], [0.750, 0.750, 0.864], [0.250, 0.504, 0.381], [0.250, 0.750, 0.166], [0.250, 0.996, 0.381], [0.750, 0.004, 0.619], [0.750, 0.250, 0.834], [0.750, 0.496, 0.619]],
  "magmom_total_mub_per_atom": 0.000
}

---

Which structure loses on stability? *x* does.